A plane-wave DFT calculation with GGA-PBE was carried out for a relaxed structure of Zn2MoOs.

Output
- symmetry = Pmmm, No. 47
- formation energy (meV/atom) = 215.4
- size of the total moment (μB per cell) = 0.00
- theoretical density (Mg/m³) = 11.7

Cell lengths 3.069, 4.344, 4.428 Å; angles 90.00, 90.00, 90.00 degrees
Fractional positions:
Zn (0.000, 0.000, 0.000)
Zn (0.500, 0.500, 0.000)
Mo (0.000, 0.500, 0.500)
Os (0.500, 0.000, 0.500)

=====

A plane-wave DFT calculation with GGA-PBE was carried out for a relaxed structure of Tb4Nd3Sc.

Output
- symmetry = Immm, No. 71
- formation energy (meV/atom) = 127.5
- size of the total moment (μB per cell) = 0.00
- theoretical density (Mg/m³) = 7.1

Cell lengths 8.847, 8.847, 8.847 Å; angles 157.21, 97.58, 86.92 degrees
Fractional positions:
Tb (0.109, 0.867, 0.243)
Tb (0.376, 0.133, 0.243)
Tb (0.624, 0.867, 0.757)
Tb (0.891, 0.133, 0.757)
Nd (0.239, 0.739, 0.500)
Nd (0.500, 0.500, 0.000)
Nd (0.761, 0.261, 0.500)
Sc (0.000, 0.000, 0.000)

=====

A plane-wave DFT calculation with GGA-PBE was carried out for a relaxed structure of CsPdBr3.

Output
- symmetry = P-1, No. 2
- uncorrected formation energy (eV per atom) = -0.92
- size of the total moment (μB per cell) = 0.00
- theoretical density (Mg/m³) = 3.6

Cell lengths 6.272, 7.642, 9.784 Å; angles 77.65, 80.67, 79.28 degrees
Fractional positions:
Cs (0.203, 0.167, 0.130)
Cs (0.797, 0.833, 0.870)
Pd (0.005, 0.350, 0.670)
Pd (0.995, 0.650, 0.330)
Br (0.235, 0.659, 0.104)
Br (0.242, 0.384, 0.440)
Br (0.258, 0.080, 0.763)
Br (0.742, 0.920, 0.237)
Br (0.758, 0.616, 0.560)
Br (0.765, 0.341, 0.896)

=====

A plane-wave DFT calculation with GGA-PBE was carried out for a relaxed structure of Pr5Tl2Pd.

Output
- symmetry = I4mm, No. 107
- formation energy (meV/atom) = -271.9
- size of the total moment (μB per cell) = 0.00
- theoretical density (Mg/m³) = 8.5

Cell lengths 6.849, 6.849, 6.849 Å; angles 116.09, 116.09, 96.91 degrees
Fractional positions:
Pr (0.000, 0.000, 0.000)
Pr (0.017, 0.017, 0.505)
Pr (0.017, 0.511, 0.000)
Pr (0.511, 0.017, 0.000)
Pr (0.511, 0.511, 0.495)
Tl (0.014, 0.514, 0.500)
Tl (0.514, 0.014, 0.500)
Pd (0.582, 0.582, 0.000)

=====

A plane-wave DFT calculation with GGA-PBE was carried out for a relaxed structure of TbMg2Tl2.

Output
- symmetry = C2/m, No. 12
- formation energy (meV/atom) = -183.7
- size of the total moment (μB per cell) = 0.00
- theoretical density (Mg/m³) = 8.0

Cell lengths 5.138, 5.138, 7.238 Å; angles 120.45, 120.45, 54.19 degrees
Fractional positions:
Tb (0.000, 0.000, 0.000)
Mg (0.196, 0.196, 0.610)
Mg (0.804, 0.804, 0.390)
Tl (0.426, 0.426, 0.234)
Tl (0.574, 0.574, 0.766)

=====

A plane-wave DFT calculation with GGA-PBE was carried out for a relaxed structure of LiMnZnH6.

Output
- symmetry = P-31c, No. 163
- size of the total moment (μB per cell) = 5.57
- theoretical density (Mg/m³) = 3.0

Cell lengths 4.603, 4.603, 7.924 Å; angles 90.00, 90.00, 120.00 degrees
Fractional positions:
Li (0.333, 0.667, 0.250)
Li (0.667, 0.333, 0.750)
Mn (0.333, 0.667, 0.750)
Mn (0.667, 0.333, 0.250)
Zn (0.000, 0.000, 0.000)
Zn (0.000, 0.000, 0.500)
H (0.045, 0.352, 0.630)
H (0.045, 0.693, 0.870)
H (0.307, 0.352, 0.870)
H (0.307, 0.955, 0.630)
H (0.352, 0.045, 0.130)
H (0.352, 0.307, 0.370)
H (0.648, 0.693, 0.630)
H (0.648, 0.955, 0.870)
H (0.693, 0.045, 0.370)
H (0.693, 0.648, 0.130)
H (0.955, 0.307, 0.130)
H (0.955, 0.648, 0.370)

=====

A plane-wave DFT calculation with GGA-PBE was carried out for a relaxed structure of CaSnF6.

Output
- symmetry = P312, No. 149
- uncorrected formation energy (eV per atom) = -3.06
- size of the total moment (μB per cell) = 0.09
- theoretical density (Mg/m³) = 3.5

Cell lengths 5.377, 5.377, 5.144 Å; angles 90.00, 90.00, 120.00 degrees
Fractional positions:
Ca (0.000, 0.000, 0.000)
Sn (0.333, 0.667, 0.500)
F (0.042, 0.358, 0.270)
F (0.042, 0.684, 0.730)
F (0.316, 0.358, 0.730)
F (0.316, 0.958, 0.270)
F (0.642, 0.684, 0.270)
F (0.642, 0.958, 0.730)

=====

A plane-wave DFT calculation with GGA-PBE was carried out for a relaxed structure of TbDy4Se7.

Output
- symmetry = Cm, No. 8
- uncorrected formation energy (eV per atom) = -1.86
- size of the total moment (μB per cell) = 0.00
- theoretical density (Mg/m³) = 7.2

Cell lengths 6.992, 6.992, 12.206 Å; angles 103.78, 103.78, 32.99 degrees
Fractional positions:
Tb (0.000, 0.000, 0.000)
Dy (0.113, 0.113, 0.422)
Dy (0.226, 0.226, 0.844)
Dy (0.413, 0.413, 0.609)
Dy (0.813, 0.813, 0.235)
Se (0.073, 0.073, 0.637)
Se (0.154, 0.154, 0.207)
Se (0.370, 0.370, 0.070)
Se (0.453, 0.453, 0.372)
Se (0.613, 0.613, 0.921)
Se (0.773, 0.773, 0.472)
Se (0.854, 0.854, 0.773)

=====

A plane-wave DFT calculation with GGA-PBE was carried out for a relaxed structure of HfZrCu2.

Output
- symmetry = P4/mmm, No. 123
- formation energy (meV/atom) = -106.5
- size of the total moment (μB per cell) = 0.82
- theoretical density (Mg/m³) = 9.5

Cell lengths 3.241, 3.241, 6.595 Å; angles 90.00, 90.00, 90.00 degrees
Fractional positions:
Hf (0.000, 0.000, 0.000)
Zr (0.000, 0.000, 0.500)
Cu (0.500, 0.500, 0.234)
Cu (0.500, 0.500, 0.766)

=====

A plane-wave DFT calculation with GGA-PBE was carried out for a relaxed structure of AcInPdPt.

Output
- symmetry = Cm, No. 8
- formation energy (meV/atom) = -844.6
- size of the total moment (μB per cell) = 0.00
- theoretical density (Mg/m³) = 11.1

Cell lengths 4.690, 4.690, 5.736 Å; angles 114.20, 114.20, 60.03 degrees
Fractional positions:
Ac (0.000, 0.000, 0.000)
In (0.503, 0.503, 0.508)
Pd (0.791, 0.791, 0.372)
Pt (0.211, 0.211, 0.633)

=====

A plane-wave DFT calculation with GGA-PBE was carried out for a relaxed structure of NaSmS2.

Output
- symmetry = R3m, No. 160
- uncorrected formation energy (eV per atom) = -1.77
- size of the total moment (μB per cell) = 0.00
- theoretical density (Mg/m³) = 4.0

Cell lengths 7.370, 7.370, 7.370 Å; angles 31.84, 31.84, 31.84 degrees
Fractional positions:
Na (0.000, 0.000, 0.000)
Sm (0.828, 0.828, 0.828)
S (0.236, 0.236, 0.236)
S (0.420, 0.420, 0.420)

=====

A plane-wave DFT calculation with GGA-PBE was carried out for a relaxed structure of LiCa2Co.

Output
- symmetry = C2/m, No. 12
- formation energy (meV/atom) = 295.2
- size of the total moment (μB per cell) = 0.61
- theoretical density (Mg/m³) = 2.5

Cell lengths 5.106, 5.106, 3.649 Å; angles 90.09, 90.09, 89.98 degrees
Fractional positions:
Li (0.000, 0.000, 0.000)
Ca (0.000, 0.500, 0.500)
Ca (0.500, 0.000, 0.500)
Co (0.500, 0.500, 0.000)

=====

We obtain raw total energy values of -5.9368, -4.7671, -3.1337, -4.4998, -2.6941, -3.5071, -5.2166, -5.8146, -6.7800, -5.3647, -5.3434, -2.9605 eV per atom for the records listed above, in that order.